AgAsP2 after structural relaxation. Source: Alexandria, functional PBE.

Symmetry: Cm
Formation energy from the elements: 0.32 eV/atom

Cell: 5.2797 5.2797 5.3758 Å, 91.08 91.08 35.16°
Last column: nearest neighbours and their distance in Å.
Sites, in units of the cell vectors:
Ag 0.0000 0.0000 0.0000  3 P 2.57-2.66, 1 As 2.71
As 0.8361 0.8361 0.5939  4 P 2.58-2.59, 1 Ag 2.71
P 0.1342 0.1342 0.5989  2 P 2.30, 1 Ag 2.57
P 0.5075 0.5075 0.3955  2 P 2.30

AgAsP2 after structural relaxation. Source: Alexandria, functional PBE.

Symmetry: P4mm
Formation energy from the elements: 0.20 eV/atom

Cell: 3.3254 3.3254 6.7948 Å, 90.00 90.00 90.00°
Last column: nearest neighbours and their distance in Å.
Sites, in units of the cell vectors:
Ag 0.0000 0.0000 0.0000  1 P 2.47, 4 As 2.76
As 0.5000 0.5000 0.2124  1 P 2.35
P 0.0000 0.0000 0.6360  4 P 2.41, 1 Ag 2.47
P 0.5000 0.5000 0.5584  1 As 2.35, 4 P 2.41